# meta-GGA SCAN Y2O3, PBEsol geometry
# total magnetic moment	0.00	μB/f.u.
# energy	-750.3	eV per cell
# theoretical density	5352	kg/m³
# space-group type	Pbca
# crystal system	orthorhombic
data_Y2O3
_chemical_formula_sum 'Y16 O24'
_space_group_name_H-M_alt 'P 1'
_space_group_IT_number 1
_cell_length_a 5.740
_cell_length_b 5.899
_cell_length_c 16.553
_cell_angle_alpha 90.00
_cell_angle_beta 90.00
_cell_angle_gamma 90.00
loop_
_space_group_symop_operation_xyz
'x,y,z'
loop_
_atom_site_label
_atom_site_type_symbol
_atom_site_fract_x
_atom_site_fract_y
_atom_site_fract_z
Y1 Y 0.002 0.210 0.070
Y2 Y 0.002 0.290 0.570
Y3 Y 0.005 0.237 0.817
Y4 Y 0.005 0.263 0.317
Y5 Y 0.495 0.737 0.817
Y6 Y 0.495 0.763 0.317
Y7 Y 0.498 0.710 0.070
Y8 Y 0.498 0.790 0.570
Y9 Y 0.502 0.210 0.430
Y10 Y 0.502 0.290 0.930
Y11 Y 0.505 0.237 0.683
Y12 Y 0.505 0.263 0.183
Y13 Y 0.995 0.737 0.683
Y14 Y 0.995 0.763 0.183
Y15 Y 0.998 0.710 0.430
Y16 Y 0.998 0.790 0.930
O1 O 0.142 0.657 0.553
O2 O 0.142 0.843 0.053
O3 O 0.145 0.127 0.200
O4 O 0.145 0.373 0.700
O5 O 0.208 0.516 0.875
O6 O 0.208 0.984 0.375
O7 O 0.292 0.016 0.875
O8 O 0.292 0.484 0.375
O9 O 0.355 0.627 0.200
O10 O 0.355 0.873 0.700
O11 O 0.358 0.157 0.553
O12 O 0.358 0.343 0.053
O13 O 0.642 0.657 0.947
O14 O 0.642 0.843 0.447
O15 O 0.645 0.127 0.300
O16 O 0.645 0.373 0.800
O17 O 0.708 0.516 0.625
O18 O 0.708 0.984 0.125
O19 O 0.792 0.016 0.625
O20 O 0.792 0.484 0.125
O21 O 0.855 0.627 0.300
O22 O 0.855 0.873 0.800
O23 O 0.858 0.157 0.947
O24 O 0.858 0.343 0.447